Entry 1:
The following is a PBE calculation of an optimized crystal structure of V3GaH, from Alexandria.

Lattice parameters (Å, degrees): 3.6735 3.7153 8.3489 90.00 90.00 90.00
Space group Pmm2 (No. 25)
One atom of each set of equivalent atoms:
V: 0.0000 0.0000 0.9996 (multiplicity 1)
V: 0.0000 0.0000 0.4763 (multiplicity 1)
V: 0.0000 0.5000 0.2515 (multiplicity 1)
V: 0.0000 0.5000 0.7370 (multiplicity 1)
V: 0.5000 0.0000 0.7351 (multiplicity 1)
V: 0.5000 0.5000 0.0000 (multiplicity 1)
Ga: 0.5000 0.0000 0.2324 (multiplicity 1)
Ga: 0.5000 0.5000 0.4998 (multiplicity 1)
H: 0.0000 0.0000 0.7004 (multiplicity 1)
H: 0.0000 0.5000 0.9671 (multiplicity 1)

Summary:
- Volume: 11.39 Å³/atom
- Uncorrected energy: -6.9303 eV/atom
- DOS(E_F): 0.56 states/eV/atom



Entry 2:
The following is a PBE calculation of an optimized crystal structure of V6Ga3H, from Alexandria.

Lattice parameters (Å, degrees): 9.8226 5.0794 7.1572 90.00 130.66 90.00
Space group C2/m (No. 12)
One atom of each set of equivalent atoms:
V: 0.0788 0.2309 0.2804 (multiplicity 8)
V: 0.2123 0.0000 0.0939 (multiplicity 4)
Ga: 0.0000 0.5000 0.5000 (multiplicity 2)
Ga: 0.1862 0.0000 0.7181 (multiplicity 4)
H: 0.0000 0.0000 0.0000 (multiplicity 2)

Summary:
- Volume: 13.54 Å³/atom
- Uncorrected energy: -6.6306 eV/atom
- DOS(E_F): 0.76 states/eV/atom



Question: Which value of DOS(E_F) does entry 2 give?
Answer: 0.76 states/eV/atom



Copy entry 1 word for word.
The following is a PBE calculation of an optimized crystal structure of V3GaH, from Alexandria.

Lattice parameters (Å, degrees): 3.6735 3.7153 8.3489 90.00 90.00 90.00
Space group Pmm2 (No. 25)
One atom of each set of equivalent atoms:
V: 0.0000 0.0000 0.9996 (multiplicity 1)
V: 0.0000 0.0000 0.4763 (multiplicity 1)
V: 0.0000 0.5000 0.2515 (multiplicity 1)
V: 0.0000 0.5000 0.7370 (multiplicity 1)
V: 0.5000 0.0000 0.7351 (multiplicity 1)
V: 0.5000 0.5000 0.0000 (multiplicity 1)
Ga: 0.5000 0.0000 0.2324 (multiplicity 1)
Ga: 0.5000 0.5000 0.4998 (multiplicity 1)
H: 0.0000 0.0000 0.7004 (multiplicity 1)
H: 0.0000 0.5000 0.9671 (multiplicity 1)

Summary:
- Volume: 11.39 Å³/atom
- Uncorrected energy: -6.9303 eV/atom
- DOS(E_F): 0.56 states/eV/atom



Question: Number 2 is which compound?
Answer: V6Ga3H